(1)
The following is a PBE calculation of crystalline Pr3Sm2Tl2 at its relaxed geometry, from Alexandria.

Cell and atoms, written as POSCAR:
```
Pr3Sm2Tl2
1.0
4.8817 0.0000 0.6478
0.0000 3.6078 0.0000
0.7977 0.0000 12.7049
Pr Tl Sm
3 2 2
Cartesian
1.2590 0.0000 9.2291
4.4204 0.0000 4.1237
0.0000 0.0000 0.0000
3.4754 1.8039 11.2444
2.2040 1.8039 2.1083
3.9356 1.8039 7.7768
1.7438 1.8039 5.5759
```

As for the energy above the most stable polymorph in this dataset: 0.087 eV/atom. As for the energy relative to the elements: -115 meV per atom. Its space group is No. 65. The calculated total energy is -4.1878 eV per atom.



(2)
The following is a PBE calculation of crystalline Dy6YEr8 at its relaxed geometry, from Alexandria.

Cell and atoms, written as POSCAR:
```
Dy6YEr8
1.0
8.9731 0.0000 0.0000
4.4866 7.7709 0.0000
4.4866 2.5903 6.8260
Dy Er Y
6 8 1
Cartesian
12.9444 5.8443 5.9772
5.0018 4.5170 0.8488
2.5604 2.0732 0.8488
12.0488 9.1805 5.9772
5.8975 1.1807 0.8488
15.3859 8.2880 5.9772
11.7164 3.4864 3.9146
9.0687 8.4035 3.9146
6.2298 6.8749 2.9114
8.9731 5.1806 1.8469
11.8120 6.7093 2.9114
8.9731 5.1806 4.9791
6.1342 3.6520 3.9146
8.8775 1.9578 2.9114
0.0000 0.0000 0.0000
```

As for the energy above the most stable polymorph in this dataset: 0.000 eV/atom. As for the energy relative to the elements: 132 meV per atom. Its space group is No. 148. The calculated total energy is -4.5736 eV per atom.



(3)
The following is a PBE calculation of crystalline Tl8CdIn5 at its relaxed geometry, from Alexandria.

Cell and atoms, written as POSCAR:
```
Tl8CdIn5
1.0
-7.3620 -1.9016 3.0816
-0.1347 -0.4062 -8.1931
5.4201 -5.3550 3.0426
Tl Cd In
8 1 5
Cartesian
-0.9315 -0.9070 -5.2737
0.1077 -6.2990 1.5404
-2.5137 -2.5947 -2.5706
-3.3346 -5.3936 4.1245
0.2695 -5.9628 -3.0763
-3.6331 -3.3895 1.1999
-0.1567 -3.0621 0.0875
1.8859 -3.0423 -4.3078
2.1572 -4.6947 -1.0442
0.4449 -0.8070 -2.1578
3.1246 -5.8390 3.0838
-5.5412 -3.0941 -4.0807
-0.9709 -3.6283 3.0621
-2.1816 -5.5854 -0.9834
```

As for the energy relative to the elements: 63 meV per atom. Its space group is No. 82. The calculated total energy is -2.3325 eV per atom.



(4)
The following is a PBE calculation of crystalline CaMg9Hg2 at its relaxed geometry, from Alexandria.

Cell and atoms, written as POSCAR:
```
CaMg9Hg2
1.0
7.0274 0.0000 3.2353
3.5137 8.6104 1.6176
-0.0871 0.0000 9.4390
Mg Hg Ca
18 4 2
Cartesian
3.7054 7.9354 4.7767
8.0598 7.0945 9.1932
2.4376 0.6750 7.5305
4.4592 3.6302 9.8632
6.9839 4.3052 7.9548
4.5896 5.8210 2.8561
1.5534 2.7894 9.4511
2.3507 5.8210 9.8182
7.1756 4.9802 11.1138
5.3869 2.7894 3.2231
4.5027 0.6750 5.1437
6.7921 4.9802 4.7957
2.4812 3.6302 2.8110
5.9079 7.0945 6.7163
3.2349 7.9354 7.8976
1.5970 1.5158 4.7316
5.3434 1.5158 7.9426
0.0000 0.0000 0.0000
8.7625 6.4578 6.4038
6.9621 2.1526 10.3145
7.0056 2.1526 5.5950
5.2052 6.4578 9.5057
3.5137 0.0000 1.6176
3.4702 4.3052 6.3371
```

As for the energy relative to the elements: -134 meV per atom. Its space group is No. 141. The calculated total energy is -1.5473 eV per atom.